## Tb3MnTl4Se8 (PBE)

Data for an optimized crystal structure of Tb3MnTl4Se8.

The structure in extended XYZ format:
```
16
Lattice="8.268 0.000 0.000 0.000 9.007 0.517 -4.134 -4.132 5.850" Properties=species:S:1:pos:R:3 pbc="T T T"
Tb 4.134 4.503 0.258
Tb 2.067 2.437 3.183
Tb -2.067 2.437 3.183
Mn 0.000 4.503 0.258
Tl 4.134 0.000 0.000
Tl 2.067 -2.066 2.925
Tl 0.000 0.000 0.000
Tl -2.067 -2.066 2.925
Se -2.170 2.276 6.066
Se 0.000 4.446 2.997
Se 0.000 0.440 3.233
Se 2.170 2.276 6.066
Se 1.964 2.598 0.300
Se 4.134 4.435 3.133
Se 4.134 0.429 3.370
Se 6.304 2.598 0.300
```

Total DFT energy (no corrections) = -78.160 eV per formula unit
Symmetry = R-3m
Mass density = 7.26 g/cm³
Formation energy (no corrections) = -1110 meV/atom
D(E_F) = 3.8 states/eV per cell

## Ac2TmPtO8 (PBE)

Data for an optimized crystal structure of Ac2TmPtO8.

The structure in extended XYZ format:
```
12
Lattice="-5.385 -1.863 0.123 4.226 -3.378 1.793 -0.642 2.230 5.714" Properties=species:S:1:pos:R:3 pbc="T T T"
Ac -2.269 -2.064 1.460
Ac 0.468 -0.948 6.170
Tm -0.321 1.115 2.857
Pt 0.000 0.000 0.000
O -2.157 -2.098 5.891
O -1.547 0.657 4.884
O -4.377 -0.322 4.949
O 0.356 -0.914 1.739
O -0.253 -3.668 2.745
O 2.577 -2.689 2.681
O -2.491 -1.293 3.435
O 0.690 -1.719 4.195
```

Total DFT energy (no corrections) = -80.331 eV per formula unit
Symmetry = P-3m1
Mass density = 9.05 g/cm³
Formation energy (no corrections) = -1828 meV/atom
D(E_F) = 7.6 states/eV per cell

## LuTiOs (PBE)

Data for an optimized crystal structure of LuTiOs.

The structure in extended XYZ format:
```
3
Lattice="3.231 0.000 0.000 0.000 3.231 0.000 -1.615 -1.615 5.422" Properties=species:S:1:pos:R:3 pbc="T T T"
Lu 1.615 1.615 1.121
Os 1.615 1.615 4.705
Ti 0.000 0.000 3.391
```

Total DFT energy (no corrections) = -24.461 eV per formula unit
Symmetry = I4mm
Mass density = 12.12 g/cm³
Energy of formation from the pure elements = -79 kJ/mol of formula units
D(E_F) = 1.9 states/eV per cell

## Pm3Pr5Y4 (PBE)

Data for an optimized crystal structure of Pm3Pr5Y4.

The structure in extended XYZ format:
```
12
Lattice="7.045 -0.461 1.834 -5.299 7.732 -6.746 4.233 -4.070 11.795" Properties=species:S:1:pos:R:3 pbc="T T T"
Pm 4.649 -0.327 3.871
Pm 2.117 -2.035 5.897
Pm 1.330 3.528 3.011
Pr 2.353 1.617 5.927
Pr 5.639 -2.265 6.815
Pr 2.624 3.519 -1.998
Pr 3.354 -0.318 8.881
Pr 3.625 1.585 0.956
Y 4.877 3.294 3.937
Y 5.872 1.399 6.848
Y 0.106 1.803 0.034
Y 1.101 -0.092 2.946
```

Total DFT energy (no corrections) = -63.864 eV per formula unit
Symmetry = P-1
Mass density = 6.01 g/cm³
Energy of formation from the pure elements = 14 kJ/mol of formula units
D(E_F) = 16.3 states/eV per cell

## NaSr2Tl2 (PBE)

Data for an optimized crystal structure of NaSr2Tl2.

The structure in extended XYZ format:
```
5
Lattice="6.531 0.000 0.000 0.000 6.531 0.000 3.265 3.265 4.720" Properties=species:S:1:pos:R:3 pbc="T T T"
Sr 6.531 3.265 2.360
Sr 3.265 6.531 2.360
Tl 3.265 3.265 1.438
Tl 6.531 6.531 3.281
Na 0.000 0.000 0.000
```

Total DFT energy (no corrections) = -10.088 eV per formula unit
Symmetry = I4/mmm
Mass density = 5.01 g/cm³
Energy of formation from the pure elements = -65 kJ/mol of formula units
D(E_F) = 5.2 states/eV per cell

## VCo2HPt (PBE)

Data for an optimized crystal structure of VCo2HPt.

The structure in extended XYZ format:
```
5
Lattice="3.722 0.000 0.000 0.000 3.722 0.000 0.000 0.000 3.740" Properties=species:S:1:pos:R:3 pbc="T T T"
H 0.000 0.000 0.000
Co 0.000 1.861 0.000
Co 1.861 0.000 0.000
Pt 0.000 0.000 1.870
V 1.861 1.861 1.870
```

Total DFT energy (no corrections) = -33.269 eV per formula unit
Symmetry = P4/mmm
Mass density = 11.70 g/cm³
D(E_F) = 4.6 states/eV per cell

## Na3Pm3PtO8 (PBE)

Data for an optimized crystal structure of Na3Pm3PtO8.

The structure in extended XYZ format:
```
15
Lattice="-3.358 -0.261 6.047 -0.543 -5.240 -4.489 5.890 1.118 3.319" Properties=species:S:1:pos:R:3 pbc="T T T"
Na 0.000 0.000 0.000
Na -0.272 -2.620 -2.245
Na -1.951 -2.750 0.779
Pm 1.266 0.428 4.683
Pm 0.994 -2.191 2.438
Pm 2.673 -2.061 -0.585
Pt 2.945 0.559 1.659
O 0.518 -2.493 0.180
O 1.470 -1.890 4.696
O -1.192 -2.835 3.177
O 3.181 -1.548 1.699
O -0.892 0.057 5.655
O 2.881 -4.440 -0.779
O 0.961 0.201 2.317
O 1.027 -4.584 2.559
```

Total DFT energy (no corrections) = -97.250 eV per formula unit
Symmetry = R-3m
Mass density = 5.95 g/cm³
Formation energy (no corrections) = -2222 meV/atom
D(E_F) = 0.0 states/eV per cell

## BaLa2Y (PBE)

Data for an optimized crystal structure of BaLa2Y.

The structure in extended XYZ format:
```
4
Lattice="3.823 0.000 0.000 0.000 3.823 0.000 0.000 0.000 11.017" Properties=species:S:1:pos:R:3 pbc="T T T"
Y 1.912 1.912 0.000
Ba 1.912 1.912 5.509
La 0.000 0.000 8.613
La 0.000 0.000 2.404
```

Total DFT energy (no corrections) = -17.816 eV per formula unit
Symmetry = P4/mmm
Mass density = 5.20 g/cm³
Energy of formation from the pure elements = 41 kJ/mol of formula units
D(E_F) = 5.9 states/eV per cell

no.,spin magnetization (μB per formula unit)
1,4.36
2,3.08
3,1.08
4,0.00
5,0.00
6,0.00
7,0.00
8,0.00